Record 1
The following is a DFT calculation (PBE) of La4CdAg2Pt after structural relaxation.

Unit cell a=5.4089 b=5.4089 c=9.2323 alpha=72.97 beta=72.97 gamma=60.00
Fractional coordinates of all 8 atoms:
La1 0.3854 0.3854 0.8438
La2 0.8667 0.8667 0.3998
La3 0.1333 0.1333 0.6002
La4 0.6146 0.6146 0.1562
Cd1 0.0000 0.0000 0.0000
Ag1 0.7384 0.7384 0.7848
Ag2 0.2616 0.2616 0.2152
Pt1 0.5000 0.5000 0.5000

Results
M_tot (μB per cell): 0.0
ΔH_f (0 K) (kJ/mol of atoms): -49
Space-group type: No. 166
Crystal system: trigonal
E (Ha/atom): -0.167

***

Record 2
The following is a DFT calculation (PBE) of LaPuCdAg after structural relaxation.

Unit cell a=5.3976 b=5.3976 c=5.3976 alpha=60.00 beta=60.00 gamma=60.00
Site moments in Bohr magnetons follow the coordinates.
Fractional coordinates of all 4 atoms:
Cd1 0.7500 0.7500 0.7500  0.03
La1 0.0000 0.0000 0.0000  0.16
Ag1 0.2500 0.2500 0.2500  0.04
Pu1 0.5000 0.5000 0.5000  5.54

Results
M_tot (μB per cell): 6.4
ΔH_f (0 K) (kJ/mol of atoms): -6
Space-group type: No. 216
Crystal system: cubic
E (Ha/atom): -0.214

***

Record 3
The following is a DFT calculation (PBE) of LaCdAgRh after structural relaxation.

Unit cell a=4.9859 b=4.9859 c=4.9859 alpha=60.00 beta=60.00 gamma=60.00
Fractional coordinates of all 4 atoms:
Cd1 0.7500 0.7500 0.7500
Rh1 0.5000 0.5000 0.5000
Ag1 0.0000 0.0000 0.0000
La1 0.2500 0.2500 0.2500

Results
M_tot (μB per cell): 0.0
ΔH_f (0 K) (kJ/mol of atoms): -29
Space-group type: No. 216
Crystal system: cubic
E (Ha/atom): -0.159